Entry 1:
Cd2BF: relaxed, PBE.

Raw formation energy   0.15 eV/atom
Calculated total energy   -9.8 eV for the cell shown
Total moment   0.0 μB/cell

a b c (Å): 4.4080 4.4080 4.4080
angles (deg): 60.00 60.00 60.00
Last column: nearest neighbours and their distance in Å.
Atoms (fractional coordinates):
Cd1 0.2500 0.2500 0.2500  4 F 2.70, 4 B 2.70
Cd2 0.7500 0.7500 0.7500  4 F 2.70, 4 B 2.70
B1 0.0000 0.0000 0.0000  8 Cd 2.70
F1 0.5000 0.5000 0.5000  8 Cd 2.70

Entry 2:
Er4MgCd7: relaxed, PBE.

Calculated total energy   -27.4 eV for the cell shown
Total moment   0.0 μB/cell
Energy of formation from the pure elements   -99 meV per atom

a b c (Å): 6.6238 6.6238 11.2113
angles (deg): 117.52 117.52 47.64
Last column: nearest neighbours and their distance in Å.
Atoms (fractional coordinates):
Er1 0.0881 0.0881 0.2767  8 Cd 3.04-3.18
Er2 0.2407 0.2407 0.8182  8 Cd 3.10-3.42
Er3 0.7593 0.7593 0.1818  8 Cd 3.10-3.42
Er4 0.9119 0.9119 0.7233  8 Cd 3.04-3.18
Mg1 0.5000 0.5000 0.5000  4 Cd 2.68-2.99
Cd1 0.0000 0.0000 0.5000  2 Mg 2.68
Cd2 0.1333 0.1333 0.0217  4 Cd 3.02-3.23, 5 Er 3.05-3.17
Cd3 0.2981 0.2981 0.5786  1 Mg 2.99, 4 Er 3.04-3.10, 4 Cd 3.09-3.26
Cd4 0.4260 0.4260 0.1630  4 Cd 3.07-3.23, 5 Er 3.18-3.42, 1 Mg 3.41
Cd5 0.5740 0.5740 0.8370  4 Cd 3.07-3.23, 5 Er 3.18-3.42, 1 Mg 3.41
Cd6 0.7019 0.7019 0.4214  1 Mg 2.99, 4 Er 3.04-3.10, 4 Cd 3.09-3.26
Cd7 0.8667 0.8667 0.9783  4 Cd 3.02-3.23, 5 Er 3.05-3.17

Entry 3:
TaAl2Pt: relaxed, PBE.

Calculated total energy   -27.1 eV for the cell shown
Total moment   0.0 μB/cell
Energy of formation from the pure elements   -430 meV per atom

a b c (Å): 5.1613 5.1613 5.0056
angles (deg): 111.42 111.42 31.89
Last column: nearest neighbours and their distance in Å.
Atoms (fractional coordinates):
Ta1 0.0000 0.0000 0.0000  2 Ta 2.84, 6 Al 2.84-3.05, 4 Pt 2.88
Al1 0.2341 0.2341 0.7430  2 Pt 2.60, 4 Al 2.84-2.85, 2 Ta 2.84
Al2 0.7659 0.7659 0.2570  2 Pt 2.60, 4 Al 2.84-2.85, 2 Ta 2.84
Pt1 0.5000 0.5000 0.5000  4 Al 2.60, 2 Pt 2.84, 4 Ta 2.88

Entry 4:
Li2CuW: relaxed, PBE.

Calculated total energy   -19.6 eV for the cell shown
Total moment   0.0 μB/cell
Energy of formation from the pure elements   315 meV per atom

a b c (Å): 2.6055 2.6055 8.3309
angles (deg): 90.00 90.00 90.00
Last column: nearest neighbours and their distance in Å.
Atoms (fractional coordinates):
Li1 0.0000 0.0000 0.2282  4 Li 2.61, 4 Cu 2.65
Li2 0.0000 0.0000 0.7718  4 Li 2.61, 4 Cu 2.65
Cu1 0.5000 0.5000 0.0000  4 Cu 2.61, 8 Li 2.65
W1 0.5000 0.5000 0.5000  4 W 2.61

Entry 5:
Rb2TaCl5: relaxed, PBE.

Raw formation energy   -1.42 eV/atom
Calculated total energy   -34.4 eV for the cell shown
Total moment   2.0 μB/cell

a b c (Å): 6.9480 6.9480 7.7785
angles (deg): 119.32 119.32 67.35
Last column: nearest neighbours and their distance in Å.
Atoms (fractional coordinates):
Rb1 0.0000 0.0000 0.0000  8 Cl 3.46-3.81
Rb2 0.5032 0.5032 0.4952  7 Cl 3.40-3.51
Ta1 0.2878 0.2878 0.7735  5 Cl 2.35-2.48
Cl1 0.0298 0.4639 0.5171  1 Ta 2.43
Cl2 0.4574 0.9992 0.9341  1 Ta 2.48
Cl3 0.4639 0.0298 0.5171  1 Ta 2.43
Cl4 0.5259 0.5259 0.0794  1 Ta 2.35
Cl5 0.9992 0.4574 0.9341  1 Ta 2.48

Among the records above, which one has the highest calculated total energy?
Cd2BF